# 1
The following is a DFT calculation (meta-GGA SCAN) of a crystal of K2ErTiP3O12 relaxed with PBEsol.

Properties
The calculation puts the density at 3.7 g/cm3. As for the space group: No. 198. The final energy is -0.4739 Ha/atom. As for the uncorrected formation energy: -2.949 eV per atom.

a b c (Å): 10.147 10.147 10.147
angles (deg): 90.00 90.00 90.00
Element x y z (fractional)
K1 0.050 0.450 0.550
K2 0.177 0.177 0.177
K3 0.323 0.823 0.677
K4 0.450 0.550 0.050
K5 0.550 0.050 0.450
K6 0.677 0.323 0.823
K7 0.823 0.677 0.323
K8 0.950 0.950 0.950
Er1 0.171 0.829 0.329
Er2 0.329 0.171 0.829
Er3 0.671 0.671 0.671
Er4 0.829 0.329 0.171
Ti1 0.108 0.608 0.892
Ti2 0.392 0.392 0.392
Ti3 0.608 0.892 0.108
Ti4 0.892 0.108 0.608
P1 0.004 0.300 0.866
P2 0.134 0.504 0.200
P3 0.200 0.134 0.504
P4 0.300 0.866 0.004
P5 0.366 0.496 0.700
P6 0.496 0.700 0.366
P7 0.504 0.200 0.134
P8 0.634 0.996 0.800
P9 0.700 0.366 0.496
P10 0.800 0.634 0.996
P11 0.866 0.004 0.300
P12 0.996 0.800 0.634
O1 0.012 0.450 0.834
O2 0.025 0.404 0.226
O3 0.047 0.733 0.762
O4 0.050 0.166 0.512
O5 0.096 0.774 0.525
O6 0.099 0.639 0.258
O7 0.139 0.242 0.901
O8 0.166 0.512 0.050
O9 0.226 0.025 0.404
O10 0.233 0.738 0.953
O11 0.238 0.547 0.767
O12 0.242 0.901 0.139
O13 0.258 0.099 0.639
O14 0.262 0.453 0.267
O15 0.267 0.262 0.453
O16 0.274 0.975 0.904
O17 0.334 0.488 0.550
O18 0.361 0.758 0.401
O19 0.401 0.361 0.758
O20 0.404 0.226 0.025
O21 0.450 0.834 0.012
O22 0.453 0.267 0.262
O23 0.475 0.596 0.726
O24 0.488 0.550 0.334
O25 0.512 0.050 0.166
O26 0.525 0.096 0.774
O27 0.547 0.767 0.238
O28 0.550 0.334 0.488
O29 0.596 0.726 0.475
O30 0.599 0.861 0.742
O31 0.639 0.258 0.099
O32 0.666 0.988 0.950
O33 0.726 0.475 0.596
O34 0.733 0.762 0.047
O35 0.738 0.953 0.233
O36 0.742 0.599 0.861
O37 0.758 0.401 0.361
O38 0.762 0.047 0.733
O39 0.767 0.238 0.547
O40 0.774 0.525 0.096
O41 0.834 0.012 0.450
O42 0.861 0.742 0.599
O43 0.901 0.139 0.242
O44 0.904 0.274 0.975
O45 0.950 0.666 0.988
O46 0.953 0.233 0.738
O47 0.975 0.904 0.274
O48 0.988 0.950 0.666

# 2
The following is a DFT calculation (meta-GGA SCAN) of a crystal of La2P2Os relaxed with PBEsol.

Properties
The value obtained for the formation energy from the elements is -457 meV per atom. The calculation puts the density at 8.4 g/cm3. As for the space group: No. 139. The final energy is -1.3316 Ha/atom.

a b c (Å): 8.958 8.958 8.958
angles (deg): 157.54 157.54 31.98
Element x y z (fractional)
La1 0.103 0.103 0.000
La2 0.897 0.897 0.000
P1 0.250 0.750 0.500
P2 0.750 0.250 0.500
Os1 0.500 0.500 0.000

# 3
The following is a DFT calculation (meta-GGA SCAN) of a crystal of Er2Si5Ni3 relaxed with PBEsol.

Properties
The calculation puts the density at 7.5 g/cm3. As for the space group: No. 72. The final energy is -0.7624 Ha/atom. As for the uncorrected formation energy: -0.819 eV per atom.

a b c (Å): 7.748 7.748 7.748
angles (deg): 104.74 90.24 137.86
Element x y z (fractional)
Er1 0.132 0.236 0.368
Er2 0.368 0.736 0.103
Er3 0.632 0.264 0.897
Er4 0.868 0.764 0.632
Si1 0.017 0.750 0.267
Si2 0.106 0.654 0.760
Si3 0.250 0.250 0.000
Si4 0.394 0.154 0.548
Si5 0.483 0.750 0.733
Si6 0.517 0.250 0.267
Si7 0.606 0.846 0.452
Si8 0.750 0.750 0.000
Si9 0.894 0.346 0.240
Si10 0.983 0.250 0.733
Ni1 0.135 0.887 0.022
Ni2 0.250 0.750 0.500
Ni3 0.365 0.387 0.752
Ni4 0.635 0.613 0.248
Ni5 0.750 0.250 0.500
Ni6 0.865 0.113 0.978

# 4
The following is a DFT calculation (meta-GGA SCAN) of a crystal of AlAu3 relaxed with PBEsol.

Properties
The value obtained for the formation energy from the elements is -272 meV per atom. The calculation puts the density at 15.5 g/cm3. As for the space group: No. 187. The final energy is -1.9873 Ha/atom.

a b c (Å): 2.978 2.978 8.637
angles (deg): 90.00 90.00 120.00
Element x y z (fractional)
Al1 0.000 0.000 0.000
Au1 0.000 0.000 0.500
Au2 0.333 0.667 0.228
Au3 0.333 0.667 0.772

# 5
The following is a DFT calculation (meta-GGA SCAN) of a crystal of NiHgPt4 relaxed with PBEsol.

Properties
The value obtained for the formation energy from the elements is 222 meV per atom. The calculation puts the density at 17.4 g/cm3. As for the space group: No. 216. The final energy is -2.2281 Ha/atom.

a b c (Å): 5.193 5.193 5.193
angles (deg): 60.00 60.00 60.00
Element x y z (fractional)
Ni1 0.000 0.000 0.000
Hg1 0.750 0.750 0.750
Pt1 0.375 0.375 0.375
Pt2 0.375 0.375 0.876
Pt3 0.375 0.876 0.375
Pt4 0.876 0.375 0.375

# 6
The following is a DFT calculation (meta-GGA SCAN) of a crystal of YMoClO4 relaxed with PBEsol.

Properties
The calculation puts the density at 4.0 g/cm3. As for the space group: No. 12. The final energy is -0.6031 Ha/atom. As for the uncorrected formation energy: -2.748 eV per atom.

a b c (Å): 6.231 6.231 6.787
angles (deg): 104.16 104.16 70.79
Element x y z (fractional)
Y1 0.222 0.222 0.110
Y2 0.778 0.778 0.890
Mo1 0.362 0.362 0.733
Mo2 0.638 0.638 0.267
Cl1 0.009 0.009 0.764
Cl2 0.991 0.991 0.236
O1 0.109 0.490 0.846
O2 0.295 0.295 0.465
O3 0.458 0.458 0.199
O4 0.490 0.109 0.846
O5 0.510 0.891 0.154
O6 0.542 0.542 0.801
O7 0.705 0.705 0.535
O8 0.891 0.510 0.154

# 7
The following is a DFT calculation (meta-GGA SCAN) of a crystal of NaCa3Mg3FeSi8O24 relaxed with PBEsol.

Properties
The calculation puts the density at 3.3 g/cm3. As for the space group: No. 3. The final energy is -0.3846 Ha/atom. As for the uncorrected formation energy: -3.068 eV per atom.

a b c (Å): 5.275 8.885 9.708
angles (deg): 90.00 105.05 90.00
Element x y z (fractional)
Na1 0.000 0.000 0.000
Ca1 0.000 0.897 0.500
Ca2 0.500 0.396 0.000
Ca3 0.500 0.497 0.500
Mg1 0.000 0.288 0.500
Mg2 0.000 0.607 0.000
Mg3 0.500 0.107 0.500
Fe1 0.500 0.803 0.000
Si1 0.194 0.605 0.713
Si2 0.195 0.290 0.212
Si3 0.304 0.105 0.787
Si4 0.309 0.793 0.286
Si5 0.691 0.793 0.714
Si6 0.696 0.105 0.213
Si7 0.805 0.290 0.788
Si8 0.806 0.605 0.287
O1 0.102 0.214 0.851
O2 0.104 0.681 0.349
O3 0.206 0.450 0.138
O4 0.210 0.446 0.639
O5 0.221 0.107 0.615
O6 0.233 0.781 0.114
O7 0.278 0.286 0.385
O8 0.281 0.614 0.886
O9 0.290 0.950 0.361
O10 0.301 0.942 0.861
O11 0.394 0.716 0.646
O12 0.404 0.185 0.148
O13 0.596 0.185 0.852
O14 0.606 0.716 0.354
O15 0.699 0.942 0.139
O16 0.710 0.950 0.639
O17 0.719 0.614 0.114
O18 0.722 0.286 0.615
O19 0.767 0.781 0.886
O20 0.779 0.107 0.385
O21 0.790 0.446 0.361
O22 0.794 0.450 0.862
O23 0.896 0.681 0.651
O24 0.898 0.214 0.149

# 8
The following is a DFT calculation (meta-GGA SCAN) of a crystal of SiSe3N relaxed with PBEsol.

Properties
The calculation puts the density at 4.3 g/cm3. As for the space group: No. 221. The final energy is -0.5365 Ha/atom. As for the uncorrected formation energy: 1.310 eV per atom.

a b c (Å): 4.770 4.770 4.770
angles (deg): 90.00 90.00 90.00
Element x y z (fractional)
Si1 0.000 0.000 0.000
Se1 0.000 0.000 0.500
Se2 0.000 0.500 0.000
Se3 0.500 0.000 0.000
N1 0.500 0.500 0.500

# 9
The following is a DFT calculation (meta-GGA SCAN) of a crystal of Tl2SnHg2 relaxed with PBEsol.

Properties
The value obtained for the formation energy from the elements is 77 meV per atom. The calculation puts the density at 11.6 g/cm3. As for the space group: No. 127. The final energy is -2.3269 Ha/atom.

a b c (Å): 7.883 7.883 4.291
angles (deg): 90.00 90.00 90.00
Element x y z (fractional)
Tl1 0.167 0.333 0.000
Tl2 0.333 0.833 0.000
Tl3 0.667 0.167 0.000
Tl4 0.833 0.667 0.000
Sn1 0.000 0.000 0.500
Sn2 0.500 0.500 0.500
Hg1 0.136 0.636 0.500
Hg2 0.364 0.136 0.500
Hg3 0.636 0.864 0.500
Hg4 0.864 0.364 0.500

# 10
The following is a DFT calculation (meta-GGA SCAN) of a crystal of Sr2AgHg relaxed with PBEsol.

Properties
The value obtained for the formation energy from the elements is -470 meV per atom. The calculation puts the density at 6.9 g/cm3. As for the space group: No. 123. The final energy is -1.3410 Ha/atom.

a b c (Å): 5.438 5.438 3.925
angles (deg): 90.00 90.00 90.00
Element x y z (fractional)
Sr1 0.000 0.500 0.000
Sr2 0.500 0.000 0.000
Ag1 0.000 0.000 0.500
Hg1 0.500 0.500 0.500

# 11
The following is a DFT calculation (meta-GGA SCAN) of a crystal of Bi2MoS2 relaxed with PBEsol.

Properties
The calculation puts the density at 8.7 g/cm3. As for the space group: No. 139. The final energy is -1.5354 Ha/atom. As for the uncorrected formation energy: 0.480 eV per atom.

a b c (Å): 9.828 9.828 9.828
angles (deg): 160.03 160.03 28.39
Element x y z (fractional)
Bi1 0.087 0.087 0.000
Bi2 0.913 0.913 0.000
Mo1 0.500 0.500 0.000
S1 0.250 0.750 0.500
S2 0.750 0.250 0.500

# 12
The following is a DFT calculation (meta-GGA SCAN) of a crystal of TcHg4Sb relaxed with PBEsol.

Properties
The calculation puts the density at 13.3 g/cm3. As for the space group: No. 216. The final energy is -2.0835 Ha/atom. As for the uncorrected formation energy: 0.802 eV per atom.

a b c (Å): 5.646 5.646 5.646
angles (deg): 60.00 60.00 60.00
Element x y z (fractional)
Tc1 0.000 0.000 0.000
Hg1 0.374 0.374 0.374
Hg2 0.374 0.374 0.877
Hg3 0.374 0.877 0.374
Hg4 0.877 0.374 0.374
Sb1 0.750 0.750 0.750

# 13
The following is a DFT calculation (meta-GGA SCAN) of a crystal of In4Se3 relaxed with PBEsol.

Properties
The calculation puts the density at 6.2 g/cm3. As for the space group: No. 58. The final energy is -1.0353 Ha/atom. As for the uncorrected formation energy: -0.490 eV per atom.

a b c (Å): 12.224 14.932 4.115
angles (deg): 90.00 90.00 90.00
Element x y z (fractional)
In1 0.023 0.184 0.000
In2 0.102 0.423 0.000
In3 0.144 0.027 0.000
In4 0.162 0.707 0.000
In5 0.338 0.207 0.500
In6 0.356 0.527 0.500
In7 0.398 0.923 0.500
In8 0.477 0.684 0.500
In9 0.523 0.316 0.500
In10 0.602 0.077 0.500
In11 0.644 0.473 0.500
In12 0.662 0.793 0.500
In13 0.838 0.293 0.000
In14 0.856 0.973 0.000
In15 0.898 0.577 0.000
In16 0.977 0.816 0.000
Se1 0.136 0.269 0.500
Se2 0.148 0.590 0.500
Se3 0.156 0.916 0.500
Se4 0.344 0.416 0.000
Se5 0.352 0.090 0.000
Se6 0.364 0.769 0.000
Se7 0.636 0.231 0.000
Se8 0.648 0.910 0.000
Se9 0.656 0.584 0.000
Se10 0.844 0.084 0.500
Se11 0.852 0.410 0.500
Se12 0.864 0.731 0.500

# 14
The following is a DFT calculation (meta-GGA SCAN) of a crystal of Sb3Pt relaxed with PBEsol.

Properties
The calculation puts the density at 10.4 g/cm3. As for the space group: No. 139. The final energy is -1.6618 Ha/atom. As for the uncorrected formation energy: 0.274 eV per atom. As for the energy above the most stable polymorph in this dataset: 31.2 kJ per mole of atoms.

a b c (Å): 4.909 4.909 4.909
angles (deg): 114.00 114.00 100.75
Element x y z (fractional)
Sb1 0.000 0.000 0.000
Sb2 0.250 0.750 0.500
Sb3 0.750 0.250 0.500
Pt1 0.500 0.500 0.000

# 15
The following is a DFT calculation (meta-GGA SCAN) of a crystal of ScPbOF2 relaxed with PBEsol.

Properties
The calculation puts the density at 5.4 g/cm3. As for the space group: No. 123. The final energy is -0.8092 Ha/atom. As for the uncorrected formation energy: -1.354 eV per atom.

a b c (Å): 4.562 4.562 4.498
angles (deg): 90.00 90.00 90.00
Element x y z (fractional)
Sc1 0.000 0.000 0.000
Pb1 0.500 0.500 0.500
O1 0.500 0.500 0.000
F1 0.000 0.500 0.500
F2 0.500 0.000 0.500

# 16
The following is a DFT calculation (meta-GGA SCAN) of a crystal of ZrAsCl2 relaxed with PBEsol.

Properties
The calculation puts the density at 4.2 g/cm3. As for the space group: No. 65. The final energy is -0.6376 Ha/atom. As for the uncorrected formation energy: -0.638 eV per atom. As for the energy above the most stable polymorph in this dataset: 24.3 kJ per mole of atoms.

a b c (Å): 3.204 3.204 10.829
angles (deg): 90.00 90.00 122.27
Element x y z (fractional)
Zr1 0.000 0.000 0.000
As1 0.000 0.000 0.500
Cl1 0.500 0.500 0.184
Cl2 0.500 0.500 0.816

# 17
The following is a DFT calculation (meta-GGA SCAN) of a crystal of TlCu2Mo relaxed with PBEsol.

Properties
The value obtained for the formation energy from the elements is 511 meV per atom. The calculation puts the density at 11.6 g/cm3. As for the space group: No. 47. The final energy is -1.2458 Ha/atom.

a b c (Å): 2.817 3.790 5.752
angles (deg): 90.00 90.00 90.00
Element x y z (fractional)
Tl1 0.000 0.000 0.000
Cu1 0.500 0.500 0.284
Cu2 0.500 0.500 0.716
Mo1 0.000 0.000 0.500

# 18
The following is a DFT calculation (meta-GGA SCAN) of a crystal of Ca3Cu2Br2O4 relaxed with PBEsol.

Properties
The calculation puts the density at 4.6 g/cm3. As for the space group: No. 139. The final energy is -0.4890 Ha/atom. As for the uncorrected formation energy: -2.103 eV per atom.

a b c (Å): 11.981 11.981 11.981
angles (deg): 161.62 161.62 26.10
Element x y z (fractional)
Ca1 0.000 0.000 0.000
Ca2 0.133 0.133 0.000
Ca3 0.867 0.867 0.000
Cu1 0.435 0.435 0.000
Cu2 0.565 0.565 0.000
Br1 0.307 0.307 0.000
Br2 0.693 0.693 0.000
O1 0.068 0.568 0.500
O2 0.432 0.932 0.500
O3 0.568 0.068 0.500
O4 0.932 0.432 0.500

# 19
The following is a DFT calculation (meta-GGA SCAN) of a crystal of BaHgRu relaxed with PBEsol.

Properties
The value obtained for the formation energy from the elements is 1086 meV per atom. The calculation puts the density at 7.6 g/cm3. As for the space group: No. 216. The final energy is -1.7062 Ha/atom.

a b c (Å): 5.131 5.131 5.131
angles (deg): 60.00 60.00 60.00
Element x y z (fractional)
Ba1 0.000 0.000 0.000
Hg1 0.750 0.750 0.750
Ru1 0.250 0.250 0.250